Entry 1:
Compound: ScCdInO3
Source: the Open Quantum Materials Database
Functional: GGA-PBE
Structure: optimized geometry

Values from the calculation:
electronic total energy: -6.03 eV per atom
space group: Cmcm, No. 63
total magnetization: 0.00 Bohr magnetons per cell

Structure (POSCAR):
```
ScCdInO3
1.0
1.524 -8.485 0.000
1.524 8.485 0.000
0.000 0.000 6.229
Sc Cd In O
2 2 2 6
direct
0.000 0.000 0.000 Sc
0.000 0.000 0.500 Sc
0.325 0.675 0.750 Cd
0.675 0.325 0.250 Cd
0.325 0.675 0.250 In
0.675 0.325 0.750 In
0.122 0.878 0.519 O
0.122 0.878 0.981 O
0.496 0.504 0.750 O
0.504 0.496 0.250 O
0.878 0.122 0.019 O
0.878 0.122 0.481 O
```

=====

Entry 2:
Compound: NbNiGeW
Source: the Open Quantum Materials Database
Functional: GGA-PBE
Structure: optimized geometry

Values from the calculation:
electronic total energy: -8.05 eV per atom
space group: F-43m, No. 216
total magnetization: 0.13 Bohr magnetons per cell

Structure (POSCAR):
```
NbNiGeW
1.0
0.000 3.127 3.127
3.127 0.000 3.127
3.127 3.127 0.000
Nb Ni Ge W
1 1 1 1
direct
0.000 0.000 0.000 Nb
0.500 0.500 0.500 Ni
0.250 0.250 0.250 Ge
0.750 0.750 0.750 W
```

=====

Entry 3:
Compound: NaNiB
Source: the Open Quantum Materials Database
Functional: GGA-PBE
Structure: optimized geometry

Values from the calculation:
electronic total energy: -2.72 eV per atom
space group: F-43m, No. 216
total magnetization: 0.00 Bohr magnetons per cell

Structure (POSCAR):
```
NaNiB
1.0
0.000 2.840 2.840
2.840 0.000 2.840
2.840 2.840 0.000
Na Ni B
1 1 1
direct
0.000 0.000 0.000 Na
0.250 0.250 0.250 Ni
0.750 0.750 0.750 B
```

=====

Look up the total magnetization of the second one. 0.13 Bohr magnetons per cell

=====

What did the first record say?
Compound: ScCdInO3
Source: the Open Quantum Materials Database
Functional: GGA-PBE
Structure: optimized geometry

Values from the calculation:
electronic total energy: -6.03 eV per atom
space group: Cmcm, No. 63
total magnetization: 0.00 Bohr magnetons per cell

Structure (POSCAR):
```
ScCdInO3
1.0
1.524 -8.485 0.000
1.524 8.485 0.000
0.000 0.000 6.229
Sc Cd In O
2 2 2 6
direct
0.000 0.000 0.000 Sc
0.000 0.000 0.500 Sc
0.325 0.675 0.750 Cd
0.675 0.325 0.250 Cd
0.325 0.675 0.250 In
0.675 0.325 0.750 In
0.122 0.878 0.519 O
0.122 0.878 0.981 O
0.496 0.504 0.750 O
0.504 0.496 0.250 O
0.878 0.122 0.019 O
0.878 0.122 0.481 O
```

=====

Among the records above, which one has the highest total magnetization? NbNiGeW